## Cs2CdH6Pt (PBE)

Data for a relaxed Cs2CdH6Pt crystal.

Values from the calculation:
- Space-group type: I4/mmm
- DOS(E_F): 0.000 states/eV per atom
- ρ: 5.18 g cm⁻³
- Total moment: 0.000 μB per atom
- Uncorrected energy: -3.181 eV per atom

Structure (POSCAR):
```
Cs2CdH6Pt
1.0
-4.269 -4.758 0.497
3.584 -2.739 4.557
-1.892 6.083 0.634
Cs Cd H Pt
2 1 6 1
Cartesian
-3.249 -1.214 1.831
0.677 -0.204 3.860
-2.232 2.332 3.162
-2.449 -0.038 4.761
-1.751 -2.277 4.524
-2.015 4.703 1.564
-4.716 1.694 1.879
-0.822 0.859 1.167
0.251 2.971 4.447
-6.158 1.323 1.133
```

=====

## Y2BeNiC (PBE)

Data for a relaxed Y2BeNiC crystal.

Values from the calculation:
- Space-group type: P4/mmm
- DOS(E_F): 0.823 states/eV per atom
- Energy of formation: -0.229 eV/atom
- ρ: 5.11 g cm⁻³
- Total moment: 0.000 μB per atom
- Uncorrected energy: -6.561 eV per atom

Structure (POSCAR):
```
Y2BeNiC
1.0
-4.601 1.733 0.516
-0.991 -3.597 3.243
1.047 2.018 2.558
Y Ni C Be
2 1 1 1
Cartesian
-0.495 -1.799 1.622
-2.301 0.866 0.258
-2.273 0.077 3.158
0.000 0.000 0.000
0.523 1.009 1.279
```

=====

## LiHoGa4 (PBE)

Data for a relaxed LiHoGa4 crystal.

Values from the calculation:
- Space-group type: F-43m
- DOS(E_F): 0.685 states/eV per atom
- Energy of formation: -0.351 eV/atom
- ρ: 6.56 g cm⁻³
- Total moment: 0.000 μB per atom
- Uncorrected energy: -3.451 eV per atom

Structure (POSCAR):
```
LiHoGa4
1.0
5.445 0.000 0.000
2.722 4.715 0.000
2.722 1.572 4.445
Ho Ga Li
1 4 1
Cartesian
0.000 0.000 0.000
5.445 3.143 0.557
5.445 1.573 2.778
6.805 3.929 2.778
4.084 3.929 2.778
2.722 1.572 1.111
```

=====

## MgInCl2 (PBE)

Data for a relaxed MgInCl2 crystal.

Values from the calculation:
- Space-group type: Imm2
- Excess energy over the best structure of this formula in the dataset: 0.296 eV per atom
- Formation energy from raw total energies: -935 meV/atom
- DOS(E_F): 0.236 states/eV per atom
- ρ: 3.15 g cm⁻³
- Total moment: 0.000 μB per atom
- Uncorrected energy: -2.941 eV per atom

Structure (POSCAR):
```
MgInCl2
1.0
-2.070 5.367 5.462
-5.632 5.454 1.211
2.771 -7.263 -1.578
Cl In Mg
2 1 1
Cartesian
-0.745 1.047 0.646
-1.729 1.974 3.744
-3.225 4.531 2.794
-3.082 1.416 1.248
```

=====

## NdZrCd2 (PBE)

Data for a relaxed NdZrCd2 crystal.

Values from the calculation:
- Space-group type: P4/mmm
- Excess energy over the best structure of this formula in the dataset: 0.000 eV per atom
- DOS(E_F): 1.136 states/eV per atom
- Energy of formation: -0.152 eV/atom
- ρ: 7.65 g cm⁻³
- Total moment: 0.060 μB per atom
- Uncorrected energy: -3.939 eV per atom

Structure (POSCAR):
```
NdZrCd2
1.0
-0.489 3.579 -0.066
-1.786 -0.186 3.135
6.572 0.968 3.801
Nd Zr Cd
1 1 2
Cartesian
2.149 2.181 3.435
-1.137 1.697 1.534
5.126 0.755 2.964
1.447 0.213 0.837
```

=====

## Hf2VHPt (PBE)

Data for a relaxed Hf2VHPt crystal.

Values from the calculation:
- Space-group type: P4/mmm
- Excess energy over the best structure of this formula in the dataset: 0.837 eV per atom
- DOS(E_F): 1.059 states/eV per atom
- ρ: 10.97 g cm⁻³
- Total moment: 0.632 μB per atom
- Uncorrected energy: -7.339 eV per atom

Structure (POSCAR):
```
Hf2VHPt
1.0
5.235 0.000 0.000
0.000 3.337 0.000
0.000 0.000 5.235
H Hf Pt V
1 2 1 1
Cartesian
0.000 1.668 0.000
0.000 0.000 2.618
2.618 0.000 0.000
0.000 0.000 0.000
2.618 1.668 2.618
```

=====

## Tb3Ho4ScSe8 (PBE)

Data for a relaxed Tb3Ho4ScSe8 crystal.

Values from the calculation:
- Space-group type: R-3m
- Formation energy from raw total energies: -1714 meV/atom
- DOS(E_F): 0.684 states/eV per atom
- ρ: 8.00 g cm⁻³
- Total moment: 0.000 μB per atom
- Uncorrected energy: -5.864 eV per atom

Structure (POSCAR):
```
Tb3Ho4ScSe8
1.0
8.108 0.000 0.000
0.000 8.102 -0.010
-4.054 -4.050 5.736
Tb Ho Sc Se
3 4 1 8
Cartesian
4.054 4.051 -0.005
2.027 2.026 2.863
-2.027 2.026 2.863
4.054 0.000 0.000
2.027 -2.025 2.868
0.000 0.000 0.000
-2.027 -2.025 2.868
0.000 4.051 -0.005
1.983 6.053 0.009
0.000 4.073 2.809
0.000 -0.019 2.848
6.125 6.053 0.009
-2.071 -2.001 5.718
4.054 4.072 2.879
4.054 -0.020 2.918
2.071 -2.001 5.718
```

=====

## TiGeOs (PBE)

Data for a relaxed TiGeOs crystal.

Values from the calculation:
- Space-group type: Cmcm
- DOS(E_F): 1.110 states/eV per atom
- Energy of formation: 0.300 eV/atom
- ρ: 9.75 g cm⁻³
- Total moment: 0.000 μB per atom
- Uncorrected energy: -7.614 eV per atom

Structure (POSCAR):
```
TiGeOs
1.0
-6.096 1.781 5.908
2.860 -4.681 -6.718
1.208 -1.852 1.804
Ge Os Ti
2 2 2
Cartesian
-1.892 -1.987 2.612
-0.135 -2.765 -1.618
3.219 -5.676 -4.594
-5.247 0.923 5.588
-3.820 -0.106 3.577
1.793 -4.646 -2.583
```

=====

What is the formula in the seventh record? Tb3Ho4ScSe8

=====

Which value of DOS(E_F) does entry 8 give? 1.110 states/eV per atom

=====

What is the DOS(E_F) in the sixth record? 1.059 states/eV per atom

=====

What did the sixth record say?
## Hf2VHPt (PBE)

Data for a relaxed Hf2VHPt crystal.

Values from the calculation:
- Space-group type: P4/mmm
- Excess energy over the best structure of this formula in the dataset: 0.837 eV per atom
- DOS(E_F): 1.059 states/eV per atom
- ρ: 10.97 g cm⁻³
- Total moment: 0.632 μB per atom
- Uncorrected energy: -7.339 eV per atom

Structure (POSCAR):
```
Hf2VHPt
1.0
5.235 0.000 0.000
0.000 3.337 0.000
0.000 0.000 5.235
H Hf Pt V
1 2 1 1
Cartesian
0.000 1.668 0.000
0.000 0.000 2.618
2.618 0.000 0.000
0.000 0.000 0.000
2.618 1.668 2.618
```